Here is a relaxed structure of Be3AlPb from Alexandria. Energies are from PBE.

The energy comes out at -11.5 eV for the cell shown. The value obtained for the calculated volume is 20.7 A^3/atom. The value obtained for the formation enthalpy at 0 K is 32.8 kcal/mol of atoms. The polymorph energy (0 for the lowest one) is 9.94 kcal/mol of atoms. The calculation puts the density of states at the Fermi level at 2.4 states/eV per cell.

a = 4.6939 Å, b = 4.6939 Å, c = 4.6939 Å
α = 90.00°, β = 90.00°, γ = 90.00°
Closest atoms and distances in Å follow each position.
Space group Pm-3m (No. 221)
Symmetry-distinct sites (fractional):
Be: 0.0000 0.0000 0.5000 (multiplicity 3)  2 Pb 2.35
Al: 0.5000 0.5000 0.5000 (multiplicity 1)  12 Be 3.32
Pb: 0.0000 0.0000 0.0000 (multiplicity 1)  6 Be 2.35